No. 1
Below is crystalline La6Pr2Zn at its relaxed geometry, with properties calculated at the PBE level. Values from VASP.

The structure in Quantum ESPRESSO input format:
```
&SYSTEM
  ibrav = 0, nat = 9, ntyp = 3
/
ATOMIC_SPECIES
La 138.91 La.upf
Pr 140.91 Pr.upf
Zn 65.41 Zn.upf
ATOMIC_POSITIONS crystal
La 0.0000 0.2611 0.0000
La 0.0000 0.7391 0.7393
La 0.5000 0.0001 0.6233
La 0.5000 0.3768 0.3767
La 0.0000 0.9998 0.2607
La 0.5000 0.6230 0.0000
Pr 0.0000 0.6668 0.3337
Pr 0.0000 0.3332 0.6663
Zn 0.5000 0.0002 0.0000
CELL_PARAMETERS angstrom
-2.9791 0.8161 2.1965
-5.3378 -6.6813 -4.7572
5.1337 -2.5733 7.9189
```

## Properties
**Calculated formation energy**: -47 meV/atom
**SG**: P-62m (189)
**Size of the total moment**: 0.0 Bohr magnetons per cell
**E**: -4.536 eV per atom
**Excess energy over the best structure of this formula in the dataset**: 0 meV/atom

***

No. 2
Below is crystalline PmNdCdSi at its relaxed geometry, with properties calculated at the PBE level. Values from VASP.

The structure in Quantum ESPRESSO input format:
```
&SYSTEM
  ibrav = 0, nat = 4, ntyp = 4
/
ATOMIC_SPECIES
Pm 145.00 Pm.upf
Nd 144.24 Nd.upf
Cd 112.41 Cd.upf
Si 28.09 Si.upf
ATOMIC_POSITIONS crystal
Pm 0.0000 0.0000 0.0000
Nd 0.5000 0.5000 0.5000
Cd 0.2500 0.2500 0.2500
Si 0.7500 0.7500 0.7500
CELL_PARAMETERS angstrom
-1.2379 -1.0156 5.0017
-3.3963 -3.8411 1.1366
1.6970 -4.4159 2.2805
```

## Properties
**ΔE_f (raw)**: -0.39 eV/atom
**SG**: F-43m (216)
**Size of the total moment**: 0.0 Bohr magnetons per cell
**E**: -4.353 eV per atom

***

No. 3
Below is crystalline PrEuDyHo at its relaxed geometry, with properties calculated at the PBE level. Values from VASP.

The structure in Quantum ESPRESSO input format:
```
&SYSTEM
  ibrav = 0, nat = 4, ntyp = 4
/
ATOMIC_SPECIES
Eu 151.96 Eu.upf
Dy 162.50 Dy.upf
Ho 164.93 Ho.upf
Pr 140.91 Pr.upf
ATOMIC_POSITIONS crystal
Eu 0.7500 0.7500 0.7500
Dy 0.5000 0.5000 0.5000
Ho 0.0000 0.0000 0.0000
Pr 0.2500 0.2500 0.2500
CELL_PARAMETERS angstrom
5.7979 0.0000 0.0000
2.8990 5.0212 0.0000
2.8990 1.6737 4.7340
```

## Properties
**Calculated formation energy**: 148 meV/atom
**SG**: F-43m (216)
**Size of the total moment**: 7.1 Bohr magnetons per cell
**E**: -5.910 eV per atom

***

No. 4
Below is crystalline Sr2SbRh at its relaxed geometry, with properties calculated at the PBE level. Values from VASP.

The structure in Quantum ESPRESSO input format:
```
&SYSTEM
  ibrav = 0, nat = 4, ntyp = 3
/
ATOMIC_SPECIES
Sb 121.76 Sb.upf
Sr 87.62 Sr.upf
Rh 102.91 Rh.upf
ATOMIC_POSITIONS crystal
Sb 0.3207 0.8207 0.5000
Sr 0.9968 0.9968 0.0000
Sr 0.7122 0.2122 0.5000
Rh 0.4703 0.4703 0.0000
CELL_PARAMETERS angstrom
-0.1536 -1.7303 -6.9625
-1.9891 -6.2127 -2.9901
-1.4409 5.6594 4.1701
```

## Properties
**ΔE_f (raw)**: -0.53 eV/atom
**SG**: Imm2 (44)
**Size of the total moment**: 0.0 Bohr magnetons per cell
**E**: -4.242 eV per atom

***

No. 5
Below is crystalline SrLa2InP at its relaxed geometry, with properties calculated at the PBE level. Values from VASP.

The structure in Quantum ESPRESSO input format:
```
&SYSTEM
  ibrav = 0, nat = 5, ntyp = 4
/
ATOMIC_SPECIES
Sr 87.62 Sr.upf
La 138.91 La.upf
In 114.82 In.upf
P 30.97 P.upf
ATOMIC_POSITIONS crystal
Sr 0.0000 0.0000 0.5000
La 0.5000 0.0000 0.0000
La 0.0000 0.5000 0.0000
In 0.5000 0.5000 0.5000
P 0.0000 0.0000 0.0000
CELL_PARAMETERS angstrom
5.6415 0.0000 0.0000
0.0000 5.6415 0.0000
0.0000 0.0000 5.7068
```

## Properties
**Calculated formation energy**: -636 meV/atom
**SG**: P4/mmm (123)
**Size of the total moment**: 0.0 Bohr magnetons per cell
**E**: -4.573 eV per atom

***

No. 6
Below is crystalline Ho2ZnCu5Ni2 at its relaxed geometry, with properties calculated at the PBE level. Values from VASP.

The structure in Quantum ESPRESSO input format:
```
&SYSTEM
  ibrav = 0, nat = 20, ntyp = 4
/
ATOMIC_SPECIES
Cu 63.55 Cu.upf
Ho 164.93 Ho.upf
Ni 58.69 Ni.upf
Zn 65.41 Zn.upf
ATOMIC_POSITIONS crystal
Cu 0.5000 0.7050 0.4413
Cu 0.5000 0.7950 0.9413
Cu 0.5000 0.0000 0.5000
Cu 0.5000 0.0587 0.7950
Cu 0.5000 0.5587 0.7050
Cu 0.5000 0.5000 0.0000
Cu 0.5000 0.9413 0.2050
Cu 0.5000 0.2050 0.0587
Cu 0.5000 0.2950 0.5587
Cu 0.5000 0.4413 0.2950
Ho 0.0000 0.8199 0.6801
Ho 0.0000 0.6801 0.1801
Ho 0.0000 0.1801 0.3199
Ho 0.0000 0.3199 0.8199
Ni 0.0000 0.1162 0.6162
Ni 0.0000 0.6162 0.8838
Ni 0.0000 0.3838 0.1162
Ni 0.0000 0.8838 0.3838
Zn 0.0000 0.5000 0.5000
Zn 0.0000 0.0000 0.0000
CELL_PARAMETERS angstrom
-0.0921 3.4730 -1.5270
-1.2159 -3.6045 -8.1249
-8.8859 0.2920 1.2003
```

## Properties
**Calculated formation energy**: -209 meV/atom
**SG**: P4/mbm (127)
**Size of the total moment**: 0.0 Bohr magnetons per cell
**E**: -4.457 eV per atom

***

No. 7
Below is crystalline Ac6GaCo3 at its relaxed geometry, with properties calculated at the PBE level. Values from VASP.

The structure in Quantum ESPRESSO input format:
```
&SYSTEM
  ibrav = 0, nat = 20, ntyp = 3
/
ATOMIC_SPECIES
Ac 227.00 Ac.upf
Co 58.93 Co.upf
Ga 69.72 Ga.upf
ATOMIC_POSITIONS crystal
Ac 0.7500 0.4609 0.6099
Ac 0.7500 0.9238 0.0841
Ac 0.7500 0.7130 0.2518
Ac 0.2500 0.2106 0.2448
Ac 0.2500 0.8668 0.5293
Ac 0.7500 0.3906 0.0597
Ac 0.2500 0.0762 0.9159
Ac 0.2500 0.2870 0.7482
Ac 0.2500 0.6094 0.9403
Ac 0.7500 0.1332 0.4707
Ac 0.2500 0.5391 0.3901
Ac 0.7500 0.7894 0.7552
Co 0.2500 0.3070 0.5087
Co 0.7500 0.6930 0.4913
Co 0.2500 0.5495 0.1611
Co 0.7500 0.4505 0.8389
Co 0.2500 0.8420 0.9122
Co 0.7500 0.1580 0.0878
Ga 0.2500 0.9482 0.2980
Ga 0.7500 0.0518 0.7020
CELL_PARAMETERS angstrom
4.2163 0.0000 0.0000
0.0000 11.9036 -3.8794
0.0000 -0.3607 12.6411
```

## Properties
**Calculated formation energy**: -59 meV/atom
**SG**: P2_1/m (11)
**Size of the total moment**: 0.0 Bohr magnetons per cell
**E**: -4.959 eV per atom

***

No. 8
Below is crystalline Ca5In at its relaxed geometry, with properties calculated at the PBE level. Values from VASP.

The structure in Quantum ESPRESSO input format:
```
&SYSTEM
  ibrav = 0, nat = 6, ntyp = 2
/
ATOMIC_SPECIES
Ca 40.08 Ca.upf
In 114.82 In.upf
ATOMIC_POSITIONS crystal
Ca 0.7899 0.2101 0.5000
Ca 0.4878 0.5122 0.5000
Ca 0.2948 0.7052 0.0000
Ca 0.6389 0.3611 0.0000
Ca 0.9829 0.0171 0.0000
In 0.1389 0.8611 0.5000
CELL_PARAMETERS angstrom
7.7025 0.7414 0.0000
-6.2987 4.4949 0.0000
0.0000 0.0000 5.4615
```

## Properties
**Calculated formation energy**: -146 meV/atom
**SG**: Cmmm (65)
**Size of the total moment**: 0.0 Bohr magnetons per cell
**E**: -2.271 eV per atom
**Excess energy over the best structure of this formula in the dataset**: 10 meV/atom

***

No. 9
Below is crystalline SiTeMo at its relaxed geometry, with properties calculated at the PBE level. Values from VASP.

The structure in Quantum ESPRESSO input format:
```
&SYSTEM
  ibrav = 0, nat = 3, ntyp = 3
/
ATOMIC_SPECIES
Si 28.09 Si.upf
Mo 95.94 Mo.upf
Te 127.60 Te.upf
ATOMIC_POSITIONS crystal
Si 0.5000 0.5000 0.5000
Mo 0.0000 0.0000 0.0000
Te 0.2500 0.2500 0.2500
CELL_PARAMETERS angstrom
-1.9873 -3.6515 1.7360
1.2757 -1.5574 4.0303
-2.7512 0.4034 3.5446
```

## Properties
**ΔE_f (raw)**: 1.06 eV/atom
**SG**: F-43m (216)
**Size of the total moment**: 0.0 Bohr magnetons per cell
**E**: -5.401 eV per atom
**Excess energy over the best structure of this formula in the dataset**: 984 meV/atom

***

No. 10
Below is crystalline Be2InSb at its relaxed geometry, with properties calculated at the PBE level. Values from VASP.

The structure in Quantum ESPRESSO input format:
```
&SYSTEM
  ibrav = 0, nat = 4, ntyp = 3
/
ATOMIC_SPECIES
In 114.82 In.upf
Sb 121.76 Sb.upf
Be 9.01 Be.upf
ATOMIC_POSITIONS crystal
In 0.5000 0.2500 0.2500
Sb 0.5000 0.7500 0.7500
Be 0.0000 0.7517 0.4481
Be 0.0000 0.7483 0.0519
CELL_PARAMETERS angstrom
-2.2774 0.5566 2.9863
2.3363 -2.2882 2.2082
2.8586 4.2559 1.3868
```

## Properties
**ΔE_f (raw)**: 0.48 eV/atom
**SG**: P2/m (10)
**Size of the total moment**: 0.0 Bohr magnetons per cell
**E**: -3.103 eV per atom
**Excess energy over the best structure of this formula in the dataset**: 207 meV/atom

***

No. 11
Below is crystalline CsSc2I at its relaxed geometry, with properties calculated at the PBE level. Values from VASP.

The structure in Quantum ESPRESSO input format:
```
&SYSTEM
  ibrav = 0, nat = 4, ntyp = 3
/
ATOMIC_SPECIES
Sc 44.96 Sc.upf
Cs 132.91 Cs.upf
I 126.90 I.upf
ATOMIC_POSITIONS crystal
Sc 0.1008 0.1008 0.1008
Sc 0.8992 0.8992 0.8992
Cs 0.0000 0.0000 0.0000
I 0.5000 0.5000 0.5000
CELL_PARAMETERS angstrom
2.1057 0.0000 11.5470
-1.0529 1.8236 11.5470
-1.0529 -1.8236 11.5470
```

## Properties
**ΔE_f (raw)**: 0.23 eV/atom
**SG**: R-3m (166)
**Size of the total moment**: 1.6 Bohr magnetons per cell
**E**: -3.537 eV per atom
**Excess energy over the best structure of this formula in the dataset**: 0 meV/atom

***

No. 12
Below is crystalline La2ZrMnAu at its relaxed geometry, with properties calculated at the PBE level. Values from VASP.

The structure in Quantum ESPRESSO input format:
```
&SYSTEM
  ibrav = 0, nat = 5, ntyp = 4
/
ATOMIC_SPECIES
Au 196.97 Au.upf
Mn 54.94 Mn.upf
La 138.91 La.upf
Zr 91.22 Zr.upf
ATOMIC_POSITIONS crystal
Au 0.5000 0.5000 0.5000
Mn 0.0000 0.0000 0.5000
La 0.0000 0.5000 0.0000
La 0.5000 0.0000 0.0000
Zr 0.0000 0.0000 0.0000
CELL_PARAMETERS angstrom
-3.4556 4.2615 -1.7047
-1.5399 -3.0865 -4.5945
-3.4750 -1.8538 2.4100
```

## Properties
**Calculated formation energy**: 574 meV/atom
**SG**: P4/mmm (123)
**Size of the total moment**: 3.2 Bohr magnetons per cell
**E**: -5.596 eV per atom